BeCrRe3 | PBE-GGA | optimized geometry

The structure in CIF format:
```
data_BeCrRe3
_chemical_formula_sum 'Be1 Cr1 Re3'
_space_group_name_H-M_alt 'P m -3 m'
_space_group_IT_number 221
_space_group_name_Hall '-P 4 2 3'
_cell_length_a 4.422
_cell_length_b 4.422
_cell_length_c 4.422
_cell_angle_alpha 90.00
_cell_angle_beta 90.00
_cell_angle_gamma 90.00
loop_
_atom_site_label
_atom_site_type_symbol
_atom_site_fract_x
_atom_site_fract_y
_atom_site_fract_z
_atom_site_occupancy
Be1 Be 0.000 0.000 0.000 1
Cr1 Cr 0.500 0.500 0.500 1
Re1 Re 0.000 0.500 0.500 1
```

Calculated values
The energy above the most stable polymorph in this dataset comes out at 1047 meV/atom. The calculation puts the size of the total moment at 0.0 μB per formula unit. As for the total DFT energy (no corrections): -41.4 eV per cell. As for the crystal system: cubic. The value obtained for the formation energy is 1.8488 eV per atom.